Material: ReSbIr2
Method: DFT, PBE
State: relaxed

Cell: 4.800 4.800 4.800 Å, 129.71 129.71 73.86°
Sites, in units of the cell vectors:
Re  0.000  0.000  0.000
Sb  0.250  0.750  0.500
Ir  0.500  0.500  0.000
Ir  0.750  0.250  0.500

Calculated values
- Space group: No. 119

---

Material: CuSi4Pt
Method: DFT, PBE
State: relaxed

Cell: 5.019 5.019 5.019 Å, 60.00 60.00 60.00°
Sites, in units of the cell vectors:
Cu  0.000  0.000  0.000
Si  0.375  0.375  0.375
Si  0.375  0.375  0.876
Si  0.375  0.876  0.375
Si  0.876  0.375  0.375
Pt  0.750  0.750  0.750

Calculated values
- Space group: No. 216

---

Number 1: E_tot -8.2527 eV/atom, calculated volume 16.0 Å³/atom, E_form (uncorrected) 1.3 eV/f.u.. Number 2: E_tot -4.8459 eV/atom, calculated volume 14.9 Å³/atom, E_form (uncorrected) 2.8 eV/f.u..